[1]
# PBE-GGA PmPuNp, relaxed
# E_form ... 2.72 eV per formula unit
# Calculated volume ... 29.55 Å³ per atom
# E ... -9.64 eV/atom
# Size of the total moment ... 41.23 μB/cell
# Crystal system ... cubic
data_PmPuNp
_chemical_formula_sum 'Pm4 Pu4 Np4'
_space_group_name_H-M_alt 'F -4 3 m'
_space_group_IT_number 216
_space_group_name_Hall 'F -4 2 3'
_cell_length_a 7.078
_cell_length_b 7.078
_cell_length_c 7.078
_cell_angle_alpha 90.00
_cell_angle_beta 90.00
_cell_angle_gamma 90.00
loop_
_atom_site_label
_atom_site_fract_x
_atom_site_fract_y
_atom_site_fract_z
Pm1 0.000 0.000 0.000
Pu1 0.250 0.250 0.750
Np1 0.000 0.000 0.500

[2]
# PBE-GGA Sc3Ni8Ag, relaxed
# E_form ... -5.26 eV per formula unit
# Calculated volume ... 13.44 Å³ per atom
# E ... -5.97 eV/atom
# Size of the total moment ... 0.18 μB/cell
# Crystal system ... trigonal
data_Sc3Ni8Ag
_chemical_formula_sum 'Sc9 Ni24 Ag3'
_space_group_name_H-M_alt 'R 3 m'
_space_group_IT_number 160
_space_group_name_Hall 'R 3 -2"'
_cell_length_a 4.8473
_cell_length_b 4.8473
_cell_length_c 23.7780
_cell_angle_alpha 90.00
_cell_angle_beta 90.00
_cell_angle_gamma 120.00
loop_
_atom_site_label
_atom_site_fract_x
_atom_site_fract_y
_atom_site_fract_z
Sc1 0.0000 0.0000 0.0000
Sc2 0.0000 0.0000 0.1294
Sc3 0.0000 0.0000 0.5124
Ni1 0.0000 0.0000 0.3183
Ni2 0.0000 0.0000 0.8179
Ni3 0.0007 0.5004 0.0692
Ni4 0.1682 0.3364 0.9003
Ag1 0.0000 0.0000 0.6329